DFT (PBE) results for Pm4Ho2Sc3 after structural relaxation. Values from VASP.

The structure in Quantum ESPRESSO input format:
```
&SYSTEM
  ibrav = 0, nat = 9, ntyp = 3
/
ATOMIC_SPECIES
Pm 145.00 Pm.upf
Ho 164.93 Ho.upf
Sc 44.96 Sc.upf
CELL_PARAMETERS angstrom
5.471 -2.492 0.000
5.471 2.492 0.000
-3.205 0.000 9.933
ATOMIC_POSITIONS angstrom
Pm -1.020 0.000 3.337
Pm 3.293 0.000 1.119
Pm 4.444 0.000 8.814
Pm 8.756 0.000 6.596
Ho 1.136 0.000 7.669
Ho 6.601 0.000 2.265
Sc 0.000 0.000 0.000
Sc 2.238 0.000 4.453
Sc 5.499 0.000 5.480
```

Formation energy from the elements in meV/atom: 48
Volume in Å³/cell: 270.9
Fermi-level density of states in states/eV/cell: 13.17